Below is a geometry-optimized TbNd5Sm3 structure, with properties calculated at the GGA-PBE level.

D(E_F) = 26.18 states/eV/cell
size of the total moment = 0.00 Bohr magnetons per cell
space-group type = C2/c, No. 15
formation energy from the elements = 15 kJ per mole of atoms
excess energy over the best structure of this formula in the dataset = 0.00 kcal/mol of atoms

The structure in extended XYZ format:
```
18
Lattice="6.835 0.000 0.000 -3.418 7.721 -3.073 0.000 0.492 11.724" Properties=species:S:1:pos:R:3 pbc="T T T"
Nd 1.538 0.369 8.793
Nd -0.769 4.326 5.888
Nd 0.024 6.525 8.765
Nd 0.769 4.080 0.026
Nd -0.024 6.279 2.903
Nd 4.186 3.887 2.764
Nd 3.442 1.934 5.749
Nd 2.649 4.133 8.626
Nd 5.297 0.123 2.931
Nd 3.393 1.688 -0.113
Sm 0.757 2.881 3.213
Sm 0.000 0.000 0.000
Sm 4.174 5.086 -0.423
Sm -0.757 3.127 9.075
Sm 2.661 5.332 5.439
Sm 0.000 0.246 5.862
Tb 4.658 0.369 8.793
Tb 2.177 0.123 2.931
```